VASP calculation (PBE+U) on crystalline MnCo2O4 at its relaxed geometry.

Results
Energy = -6.573 eV/atom
Space group = P1, No. 1
Polymorph energy (0 for the lowest one) = 0.00 kJ/mol of atoms
Spin magnetization = 7.50 μB per formula unit

Cell: 5.9951 5.9210 10.2639 Å, 91.23 105.01 121.39°
Site moments in Bohr magnetons follow the coordinates.
Atoms (fractional coordinates):
O 0.2477 0.1730 0.3749  -0.02
O 0.7468 0.1210 0.3582  0.03
Co 0.1212 0.3101 0.9365  2.67
Co 0.8864 0.6845 0.0609  2.67
Co 0.5006 0.2515 0.2495  2.72
O 0.2556 0.3818 0.1411  0.02
O 0.2512 0.1100 0.8603  0.04
Co 0.4999 0.7498 0.2499  0.12
O 0.2749 0.8763 0.6491  -0.04
Co 0.4923 0.5090 0.5019  2.07
Mn 0.0034 0.2526 0.2503  3.36
O 0.2459 0.6156 0.3550  0.01
O 0.7633 0.8845 0.1462  0.04
O 0.2926 0.3869 0.6370  0.00
O 0.7088 0.1121 0.8613  -0.01
O 0.7402 0.3880 0.6360  0.05
O 0.2924 0.8721 0.1268  0.05
O 0.2802 0.6509 0.8722  0.04
Co 0.4994 0.7483 0.7503  0.14
O 0.6970 0.6273 0.3740  0.00
O 0.7253 0.6212 0.8548  0.00
O 0.7595 0.3396 0.1266  0.01
O 0.7131 0.8442 0.6250  0.07
Mn 0.5071 0.9938 0.9984  3.92
Co 0.8778 0.1893 0.5635  2.66
Mn 0.9960 0.7480 0.7495  3.93
Mn 0.1135 0.8182 0.4395  4.52
Co 0.4991 0.2498 0.7498  0.12